Record 1
Entry from the Alexandria database: KMg2Au after structural relaxation (GGA-PBE).

a b c (Å): 4.7594 4.7594 7.0126
angles (deg): 70.32 70.32 60.01
Atoms (fractional coordinates):
Au  0.4246  0.4246  0.7256
K  0.2457  0.2457  0.2636
Mg  0.0544  0.0544  0.8369
Mg  0.7753  0.7753  0.6738

As for the symmetry: No. 8. The calculation puts the density of states at the Fermi level at 0.52 states/eV/f.u. As for the density: 3.729 Mg/m³. The total energy is -8.531 eV/cell. The excess energy over the best structure of this formula in the dataset comes out at 0 meV per atom.

***

Record 2
Entry from the Alexandria database: KMg2Au after structural relaxation (GGA-PBE).

a b c (Å): 8.5820 8.5820 8.5820
angles (deg): 157.19 150.25 37.82
Atoms (fractional coordinates):
Au  0.5164  0.5164  0.0000
K  0.3230  0.8230  0.5000
Mg  0.0096  0.0096  0.0000
Mg  0.6510  0.1510  0.5000

As for the symmetry: No. 44. The calculation puts the density of states at the Fermi level at 1.89 states/eV/f.u. As for the density: 3.893 Mg/m³. The total energy is -8.179 eV/cell. The excess energy over the best structure of this formula in the dataset comes out at 88 meV per atom.

***

Question: Which value of density does entry 1 give?
Answer: 3.729 Mg/m³